1.
Compound: Sc2TlPb
Source: Alexandria
Functional: PBEsol
Structure: relaxed

Values from the calculation:
Total moment = 0.8 μB per cell
Formation enthalpy at 0 K = -0.361 eV/atom
Crystal system = orthorhombic
Offset from the most stable computed form = 35.1 meV/atom

Unit cell a=5.339 b=5.339 c=3.293 alpha=90.00 beta=90.00 gamma=103.84
Fractional coordinates of all 4 atoms:
Sc (0.000, 0.500, 0.000)
Sc (0.500, 0.000, 0.000)
Tl (0.000, 0.000, 0.500)
Pb (0.500, 0.500, 0.500)

=====

2.
Compound: NaCaIn2Cl
Source: Alexandria
Functional: PBEsol
Structure: relaxed

Values from the calculation:
Total moment = 0.0 μB per cell
Formation energy without anion corrections = 178 meV per atom
Crystal system = tetragonal

Unit cell a=5.249 b=5.249 c=6.365 alpha=90.00 beta=90.00 gamma=90.00
Fractional coordinates of all 5 atoms:
Na (0.000, 0.000, 0.000)
Ca (0.000, 0.000, 0.500)
In (0.000, 0.500, 0.000)
In (0.500, 0.000, 0.000)
Cl (0.500, 0.500, 0.500)

=====

3.
Compound: Li2Tl2Ag
Source: Alexandria
Functional: PBEsol
Structure: relaxed

Values from the calculation:
Total moment = 0.0 μB per cell
Formation enthalpy at 0 K = -0.115 eV/atom
Crystal system = tetragonal

Unit cell a=7.550 b=7.550 c=3.458 alpha=90.00 beta=90.00 gamma=90.00
Fractional coordinates of all 10 atoms:
Li (0.155, 0.345, 0.000)
Li (0.345, 0.845, 0.000)
Li (0.655, 0.155, 0.000)
Li (0.845, 0.655, 0.000)
Tl (0.147, 0.647, 0.500)
Tl (0.353, 0.147, 0.500)
Tl (0.647, 0.853, 0.500)
Tl (0.853, 0.353, 0.500)
Ag (0.000, 0.000, 0.500)
Ag (0.500, 0.500, 0.500)

=====

4.
Compound: AlSeBr4
Source: Alexandria
Functional: PBEsol
Structure: relaxed

Values from the calculation:
Total moment = 1.7 μB per cell
Formation energy without anion corrections = 683 meV per atom
Crystal system = cubic

Unit cell a=6.086 b=6.086 c=6.086 alpha=60.00 beta=60.00 gamma=60.00
Fractional coordinates of all 6 atoms:
Al (0.000, 0.000, 0.000)
Se (0.750, 0.750, 0.750)
Br (0.375, 0.375, 0.375)
Br (0.375, 0.375, 0.874)
Br (0.375, 0.874, 0.375)
Br (0.874, 0.375, 0.375)